No. 1
Crystalline MgTlSi at its relaxed geometry, computed with PBE-GGA.

Calculated values
The calculation puts the excess energy over the best structure of this formula in the dataset at 3.38 kcal/mol of atoms. The uncorrected formation energy is 0.7 eV per formula unit. Its total DFT energy (no corrections) is -0.1059 Ha/atom.

CIF file:
```
data_MgTlSi
_chemical_formula_sum 'Mg2 Tl2 Si2'
_symmetry_space_group_name_H-M 'I m m 2'
_symmetry_Int_Tables_number 44
_symmetry_space_group_name_Hall 'I 2 -2'
_cell_length_a 3.235
_cell_length_b 4.007
_cell_length_c 10.440
_cell_angle_alpha 90.00
_cell_angle_beta 90.00
_cell_angle_gamma 90.00
loop_
_atom_site_label
_atom_site_type_symbol
_atom_site_fract_x
_atom_site_fract_y
_atom_site_fract_z
_atom_site_occupancy
Mg1 Mg 0.000 0.000 0.000 1
Tl1 Tl 0.000 0.000 0.300 1
Si1 Si 0.000 0.000 0.612 1
```



No. 2
Crystalline Nd5TlBi4 at its relaxed geometry, computed with PBE-GGA.

Calculated values
The value obtained for the energy of formation is -7.78 eV per formula unit. Its total DFT energy (no corrections) is -0.1819 Ha/atom.

CIF file:
```
data_Nd5TlBi4
_chemical_formula_sum 'Nd10 Tl2 Bi8'
_symmetry_space_group_name_H-M 'I 4'
_symmetry_Int_Tables_number 79
_symmetry_space_group_name_Hall 'I 4'
_cell_length_a 10.288
_cell_length_b 10.288
_cell_length_c 6.489
_cell_angle_alpha 90.00
_cell_angle_beta 90.00
_cell_angle_gamma 90.00
loop_
_atom_site_label
_atom_site_type_symbol
_atom_site_fract_x
_atom_site_fract_y
_atom_site_fract_z
_atom_site_occupancy
Nd1 Nd 0.000 0.000 0.000 1
Nd2 Nd 0.103 0.304 0.501 1
Tl1 Tl 0.000 0.000 0.500 1
Bi1 Bi 0.100 0.300 0.001 1
```



No. 3
Crystalline KSi2P at its relaxed geometry, computed with PBE-GGA.

Calculated values
The calculation puts the excess energy over the best structure of this formula in the dataset at 12.59 kcal/mol of atoms. The uncorrected formation energy is 2.6 eV per formula unit. Its total DFT energy (no corrections) is -0.1358 Ha/atom.

CIF file:
```
data_KSi2P
_chemical_formula_sum 'K2 Si4 P2'
_symmetry_space_group_name_H-M 'C 1 2/m 1'
_symmetry_Int_Tables_number 12
_symmetry_space_group_name_Hall '-C 2y'
_cell_length_a 5.950
_cell_length_b 10.684
_cell_length_c 2.608
_cell_angle_alpha 90.00
_cell_angle_beta 109.66
_cell_angle_gamma 90.00
loop_
_atom_site_label
_atom_site_type_symbol
_atom_site_fract_x
_atom_site_fract_y
_atom_site_fract_z
_atom_site_occupancy
K1 K 0.000 0.000 0.000 1
Si1 Si 0.250 0.250 0.000 1
P1 P 0.000 0.500 0.000 1
```



No. 4
Crystalline BaZn2FeCl at its relaxed geometry, computed with PBE-GGA.

Calculated values
The uncorrected formation energy is -1.2 eV per formula unit. Its total DFT energy (no corrections) is -0.1175 Ha/atom.

CIF file:
```
data_BaZn2FeCl
_chemical_formula_sum 'Ba1 Zn2 Fe1 Cl1'
_symmetry_space_group_name_H-M 'P 4/m m m'
_symmetry_Int_Tables_number 123
_symmetry_space_group_name_Hall '-P 4 2'
_cell_length_a 4.714
_cell_length_b 4.714
_cell_length_c 5.519
_cell_angle_alpha 90.00
_cell_angle_beta 90.00
_cell_angle_gamma 90.00
loop_
_atom_site_label
_atom_site_type_symbol
_atom_site_fract_x
_atom_site_fract_y
_atom_site_fract_z
_atom_site_occupancy
Ba1 Ba 0.000 0.000 0.000 1
Zn1 Zn 0.000 0.500 0.500 1
Fe1 Fe 0.500 0.500 0.500 1
Cl1 Cl 0.500 0.500 0.000 1
```



No. 5
Crystalline Li12AcAu6 at its relaxed geometry, computed with PBE-GGA.

Calculated values
The value obtained for the energy of formation is -7.43 eV per formula unit. Its total DFT energy (no corrections) is -0.1048 Ha/atom.

CIF file:
```
data_Li12AcAu6
_chemical_formula_sum 'Li36 Ac3 Au18'
_symmetry_space_group_name_H-M 'R -3 m'
_symmetry_Int_Tables_number 166
_symmetry_space_group_name_Hall '-R 3 2"'
_cell_length_a 11.3844
_cell_length_b 11.3844
_cell_length_c 9.7273
_cell_angle_alpha 90.00
_cell_angle_beta 90.00
_cell_angle_gamma 120.00
loop_
_atom_site_label
_atom_site_type_symbol
_atom_site_fract_x
_atom_site_fract_y
_atom_site_fract_z
_atom_site_occupancy
Li1 Li 0.0000 0.3872 0.0000 1
Li2 Li 0.0923 0.1845 0.8565 1
Ac1 Ac 0.0000 0.0000 0.5000 1
Au1 Au 0.0104 0.5052 0.7669 1
```



No. 6
Crystalline Nd7Sm12Tm at its relaxed geometry, computed with PBE-GGA.

Calculated values
The value obtained for the energy of formation is 4.48 eV per formula unit. The calculation puts the excess energy over the best structure of this formula in the dataset at 0.00 kcal/mol of atoms. Its total DFT energy (no corrections) is -0.1654 Ha/atom.

CIF file:
```
data_Nd7Sm12Tm
_chemical_formula_sum 'Nd21 Sm36 Tm3'
_symmetry_space_group_name_H-M 'R -3'
_symmetry_Int_Tables_number 148
_symmetry_space_group_name_Hall '-R 3'
_cell_length_a 12.2200
_cell_length_b 12.2200
_cell_length_c 16.2185
_cell_angle_alpha 90.00
_cell_angle_beta 90.00
_cell_angle_gamma 120.00
loop_
_atom_site_label
_atom_site_type_symbol
_atom_site_fract_x
_atom_site_fract_y
_atom_site_fract_z
_atom_site_occupancy
Nd1 Nd 0.0000 0.0000 0.0000 1
Nd2 Nd 0.0571 0.1878 0.2914 1
Sm1 Sm 0.0262 0.4498 0.2222 1
Sm2 Sm 0.0533 0.5871 0.5820 1
Tm1 Tm 0.0000 0.0000 0.5000 1
```



No. 7
Crystalline TbNd5Ag6 at its relaxed geometry, computed with PBE-GGA.

Calculated values
The value obtained for the energy of formation is -3.18 eV per formula unit. Its total DFT energy (no corrections) is -0.1493 Ha/atom.

CIF file:
```
data_TbNd5Ag6
_chemical_formula_sum 'Tb1 Nd5 Ag6'
_symmetry_space_group_name_H-M 'P 1 2/m 1'
_symmetry_Int_Tables_number 10
_symmetry_space_group_name_Hall '-P 2y'
_cell_length_a 5.315
_cell_length_b 7.401
_cell_length_c 8.392
_cell_angle_alpha 90.00
_cell_angle_beta 107.95
_cell_angle_gamma 90.00
loop_
_atom_site_label
_atom_site_type_symbol
_atom_site_fract_x
_atom_site_fract_y
_atom_site_fract_z
_atom_site_occupancy
Tb1 Tb 0.000 0.000 0.000 1
Nd1 Nd 0.000 0.500 0.000 1
Nd2 Nd 0.332 0.500 0.664 1
Nd3 Nd 0.334 0.000 0.668 1
Ag1 Ag 0.163 0.245 0.326 1
Ag2 Ag 0.500 0.242 0.000 1
```



No. 8
Crystalline TaAg2I8 at its relaxed geometry, computed with PBE-GGA.

Calculated values
The uncorrected formation energy is -3.0 eV per formula unit. Its total DFT energy (no corrections) is -0.1101 Ha/atom.

CIF file:
```
data_TaAg2I8
_chemical_formula_sum 'Ta2 Ag4 I16'
_symmetry_space_group_name_H-M 'C 1 2/m 1'
_symmetry_Int_Tables_number 12
_symmetry_space_group_name_Hall '-C 2y'
_cell_length_a 12.235
_cell_length_b 12.752
_cell_length_c 7.202
_cell_angle_alpha 90.00
_cell_angle_beta 113.53
_cell_angle_gamma 90.00
loop_
_atom_site_label
_atom_site_type_symbol
_atom_site_fract_x
_atom_site_fract_y
_atom_site_fract_z
_atom_site_occupancy
Ta1 Ta 0.000 0.000 0.000 1
Ag1 Ag 0.177 0.500 0.616 1
I1 I 0.001 0.500 0.773 1
I2 I 0.133 0.000 0.777 1
I3 I 0.144 0.161 0.247 1
```



No. 9
Crystalline LiLaNi2P at its relaxed geometry, computed with PBE-GGA.

Calculated values
The value obtained for the energy of formation is 6.02 eV per formula unit. Its total DFT energy (no corrections) is -0.1308 Ha/atom.

CIF file:
```
data_LiLaNi2P
_chemical_formula_sum 'Li1 La1 Ni2 P1'
_symmetry_space_group_name_H-M 'P 4/m m m'
_symmetry_Int_Tables_number 123
_symmetry_space_group_name_Hall '-P 4 2'
_cell_length_a 4.628
_cell_length_b 4.628
_cell_length_c 5.211
_cell_angle_alpha 90.00
_cell_angle_beta 90.00
_cell_angle_gamma 90.00
loop_
_atom_site_label
_atom_site_type_symbol
_atom_site_fract_x
_atom_site_fract_y
_atom_site_fract_z
_atom_site_occupancy
Li1 Li 0.000 0.000 0.000 1
La1 La 0.000 0.000 0.500 1
Ni1 Ni 0.000 0.500 0.500 1
P1 P 0.500 0.500 0.000 1
```



No. 10
Crystalline TiAsOsN2 at its relaxed geometry, computed with PBE-GGA.

Calculated values
The uncorrected formation energy is 9.2 eV per formula unit. Its total DFT energy (no corrections) is -0.2298 Ha/atom.

CIF file:
```
data_TiAsOsN2
_chemical_formula_sum 'Ti1 As1 Os1 N2'
_symmetry_space_group_name_H-M 'P 4/m m m'
_symmetry_Int_Tables_number 123
_symmetry_space_group_name_Hall '-P 4 2'
_cell_length_a 3.724
_cell_length_b 3.724
_cell_length_c 5.270
_cell_angle_alpha 90.00
_cell_angle_beta 90.00
_cell_angle_gamma 90.00
loop_
_atom_site_label
_atom_site_type_symbol
_atom_site_fract_x
_atom_site_fract_y
_atom_site_fract_z
_atom_site_occupancy
Ti1 Ti 0.000 0.000 0.000 1
As1 As 0.000 0.000 0.500 1
Os1 Os 0.500 0.500 0.000 1
N1 N 0.000 0.500 0.500 1
```



No. 11
Crystalline Ho4Cu2IrRu at its relaxed geometry, computed with PBE-GGA.

Calculated values
The value obtained for the energy of formation is -3.90 eV per formula unit. Its total DFT energy (no corrections) is -0.2230 Ha/atom.

CIF file:
```
data_Ho4Cu2IrRu
_chemical_formula_sum 'Ho12 Cu6 Ir3 Ru3'
_symmetry_space_group_name_H-M 'R -3 m'
_symmetry_Int_Tables_number 166
_symmetry_space_group_name_Hall '-R 3 2"'
_cell_length_a 4.8392
_cell_length_b 4.8392
_cell_length_c 23.7337
_cell_angle_alpha 90.00
_cell_angle_beta 90.00
_cell_angle_gamma 120.00
loop_
_atom_site_label
_atom_site_type_symbol
_atom_site_fract_x
_atom_site_fract_y
_atom_site_fract_z
_atom_site_occupancy
Ho1 Ho 0.0000 0.0000 0.1251 1
Ho2 Ho 0.0000 0.0000 0.3750 1
Cu1 Cu 0.0000 0.0000 0.2479 1
Ir1 Ir 0.0000 0.0000 0.0000 1
Ru1 Ru 0.0000 0.0000 0.5000 1
```



No. 12
Crystalline LiReHg2Os at its relaxed geometry, computed with PBE-GGA.

Calculated values
The value obtained for the energy of formation is 5.67 eV per formula unit. Its total DFT energy (no corrections) is -0.1508 Ha/atom.

CIF file:
```
data_LiReHg2Os
_chemical_formula_sum 'Li1 Re1 Hg2 Os1'
_symmetry_space_group_name_H-M 'P 4/m m m'
_symmetry_Int_Tables_number 123
_symmetry_space_group_name_Hall '-P 4 2'
_cell_length_a 5.328
_cell_length_b 5.328
_cell_length_c 4.696
_cell_angle_alpha 90.00
_cell_angle_beta 90.00
_cell_angle_gamma 90.00
loop_
_atom_site_label
_atom_site_type_symbol
_atom_site_fract_x
_atom_site_fract_y
_atom_site_fract_z
_atom_site_occupancy
Li1 Li 0.000 0.000 0.000 1
Re1 Re 0.500 0.500 0.500 1
Hg1 Hg 0.000 0.500 0.500 1
Os1 Os 0.500 0.500 0.000 1
```